# GGA+U Li2TiCr3O8, optimized geometry
# Offset from the most stable computed form   67 meV/atom
# Mass density   3.83 g/cm³
# Calculated total energy   -103.5 eV for the cell shown
data_Li2TiCr3O8
_chemical_formula_sum 'Li2 Ti1 Cr3 O8'
_cell_length_a 5.912
_cell_length_b 5.916
_cell_length_c 6.000
_cell_angle_alpha 90.13
_cell_angle_beta 119.42
_cell_angle_gamma 119.84
_space_group_name_H-M_alt 'P -1'
_space_group_IT_number 2
loop_
_space_group_symop_operation_xyz
'x,y,z'
'-x,-y,-z'
loop_
_atom_site_label
_atom_site_type_symbol
_atom_site_fract_x
_atom_site_fract_y
_atom_site_fract_z
Li1 Li 0.000 0.000 0.000
Li2 Li 0.500 0.000 0.000
Ti1 Ti 0.000 0.500 0.500
Cr1 Cr 0.000 0.000 0.500
Cr2 Cr 0.500 0.000 0.500
Cr3 Cr 0.500 0.500 0.500
O1 O 0.019 0.261 0.287
O2 O 0.038 0.766 0.294
O3 O 0.472 0.224 0.699
O4 O 0.475 0.744 0.717